First-principles (GGA-PBE) data for TaTeSCl2 after structural relaxation, as listed in the Alexandria database.

## Properties
E_form (uncorrected)	0.9683	eV/atom
uncorrected energy	-18.0	eV for the cell shown
crystal system	tetragonal

Lattice parameters (Å, degrees): 4.9894 5.7416 4.9894 90.00 90.00 90.00
With the nearest neighbours (Å) after each atom.
Positions (direct):
Cl1 0.0000 0.0000 0.5000  2 Te 2.49
Cl2 0.5000 0.0000 0.0000  2 Te 2.49
S1 0.5000 0.5000 0.5000  4 Ta 3.53, 8 Cl 3.80
Te1 0.0000 0.0000 0.0000  4 Cl 2.49
Ta1 0.0000 0.5000 0.0000  2 Te 2.87

First-principles (GGA-PBE) data for PmSmY after structural relaxation, as listed in the Alexandria database.

## Properties
calculated formation energy	0.18	eV per formula unit
uncorrected energy	-15.8	eV for the cell shown
crystal system	trigonal

Lattice parameters (Å, degrees): 3.5141 5.7306 5.7306 120.00 90.00 90.00
With the nearest neighbours (Å) after each atom.
Positions (direct):
Y1 0.1677 0.3333 0.6667  3 Pm 3.31, 2 Y 3.51
Sm1 0.6665 0.6667 0.3333  2 Sm 3.51, 6 Y 3.74-3.75, 6 Pm 3.74-3.75
Pm1 0.1658 0.0000 0.0000  3 Y 3.31, 2 Pm 3.51

First-principles (GGA-PBE) data for CeGd2Pd after structural relaxation, as listed in the Alexandria database.

## Properties
calculated formation energy	-1.36	eV per formula unit
uncorrected energy	-40.7	eV for the cell shown
crystal system	tetragonal

Lattice parameters (Å, degrees): 3.5523 3.5523 8.3608 90.00 90.00 90.00
With the nearest neighbours (Å) after each atom.
Positions (direct):
Gd1 0.0000 0.0000 0.7935  4 Pd 3.05
Gd2 0.0000 0.0000 0.2065  4 Pd 3.05
Pd1 0.5000 0.5000 0.0000  8 Gd 3.05
Ce1 0.5000 0.5000 0.5000  8 Gd 3.51, 4 Ce 3.55

First-principles (GGA-PBE) data for HPt2I after structural relaxation, as listed in the Alexandria database.

## Properties
uncorrected energy	-31.2	eV for the cell shown
crystal system	tetragonal

Lattice parameters (Å, degrees): 5.0927 5.0927 6.4074 66.58 66.58 90.00
With the nearest neighbours (Å) after each atom.
Positions (direct):
I1 0.0000 0.0000 0.0000  4 Pt 2.68
I2 0.7500 0.2500 0.5000  4 Pt 2.68
H1 0.5000 0.5000 0.0000  4 Pt 1.93
H2 0.2500 0.7500 0.5000  4 Pt 1.93
Pt1 0.4918 0.1250 0.2500  2 H 1.93
Pt2 0.2582 0.6250 0.2500  2 H 1.93
Pt3 0.3750 0.5082 0.7500  2 H 1.93
Pt4 0.8750 0.7418 0.7500  2 H 1.93

First-principles (GGA-PBE) data for LiAgSb4 after structural relaxation, as listed in the Alexandria database.

## Properties
E_form (uncorrected)	0.2068	eV/atom
uncorrected energy	-20.0	eV for the cell shown
crystal system	cubic

Lattice parameters (Å, degrees): 6.2426 6.2426 6.2426 60.00 60.00 60.00
With the nearest neighbours (Å) after each atom.
Positions (direct):
Li1 0.0000 0.0000 0.0000  12 Sb 3.66, 4 Ag 3.82
Ag1 0.7500 0.7500 0.7500  12 Sb 3.66, 4 Li 3.82
Sb1 0.8718 0.3761 0.3761  6 Sb 3.09-3.15
Sb2 0.3761 0.3761 0.8718  6 Sb 3.09-3.15
Sb3 0.3761 0.8718 0.3761  6 Sb 3.09-3.15
Sb4 0.3761 0.3761 0.3761  6 Sb 3.09-3.15

> The lowest uncorrected energy belongs to which entry?

CeGd2Pd

> Look up the uncorrected energy of the fifth one.

-20.0 eV for the cell shown

> The lowest uncorrected energy belongs to which entry?

CeGd2Pd